Arrangement A

{"formula": "Pm7Ho12Tm", "functional": "GGA-PBE", "state": "relaxed", "crystal_system": "cubic", "magmom_total_mub_per_fu": 0.00, "cell": [[-5.627, 5.627, 5.627], [5.627, -5.627, 5.627], [5.627, 5.627, -5.627]], "species": ["Pm", "Pm", "Pm", "Pm", "Pm", "Pm", "Pm", "Ho", "Ho", "Ho", "Ho", "Ho", "Ho", "Ho", "Ho", "Ho", "Ho", "Ho", "Ho", "Tm"], "frac_coords": [[0.000, 0.000, 0.500], [0.000, 0.500, 0.000], [0.000, 0.500, 0.500], [0.500, 0.000, 0.000], [0.500, 0.000, 0.500], [0.500, 0.500, 0.000], [0.500, 0.500, 0.500], [0.000, 0.246, 0.754], [0.000, 0.754, 0.246], [0.246, 0.000, 0.754], [0.246, 0.246, 0.491], [0.246, 0.491, 0.246], [0.246, 0.754, 0.000], [0.491, 0.246, 0.246], [0.509, 0.754, 0.754], [0.754, 0.000, 0.246], [0.754, 0.246, 0.000], [0.754, 0.509, 0.754], [0.754, 0.754, 0.509], [0.000, 0.000, 0.000]]}

Arrangement B

{"formula": "Pm7Ho12Tm", "functional": "GGA-PBE", "state": "relaxed", "crystal_system": "trigonal", "magmom_total_mub_per_fu": 0.00, "cell": [[6.603, 3.812, 4.301], [-6.603, 3.812, 4.301], [0.000, -7.624, 4.301]], "species": ["Pm", "Pm", "Pm", "Pm", "Pm", "Pm", "Pm", "Ho", "Ho", "Ho", "Ho", "Ho", "Ho", "Ho", "Ho", "Ho", "Ho", "Ho", "Ho", "Tm"], "frac_coords": [[0.000, 0.000, 0.000], [0.090, 0.362, 0.362], [0.362, 0.090, 0.362], [0.362, 0.362, 0.090], [0.638, 0.638, 0.910], [0.638, 0.910, 0.638], [0.910, 0.638, 0.638], [0.099, 0.099, 0.659], [0.099, 0.659, 0.099], [0.238, 0.500, 0.762], [0.238, 0.762, 0.500], [0.341, 0.901, 0.901], [0.500, 0.238, 0.762], [0.500, 0.762, 0.238], [0.659, 0.099, 0.099], [0.762, 0.238, 0.500], [0.762, 0.500, 0.238], [0.901, 0.341, 0.901], [0.901, 0.901, 0.341], [0.500, 0.500, 0.500]]}

Which of them is least stable? Easy: arrangement A.

Arrangement A

{"formula": "PmHo3Tm6", "functional": "GGA-PBE", "state": "relaxed", "crystal_system": "orthorhombic", "magmom_total_mub_per_fu": 0.00, "cell": [[5.446, -9.370, 0.000], [5.446, 9.370, 0.000], [0.000, 0.000, 6.127]], "species": ["Pm", "Pm", "Ho", "Ho", "Ho", "Ho", "Ho", "Ho", "Tm", "Tm", "Tm", "Tm", "Tm", "Tm", "Tm", "Tm", "Tm", "Tm", "Tm", "Tm"], "frac_coords": [[0.209, 0.791, 0.500], [0.791, 0.209, 0.000], [0.066, 0.282, 0.704], [0.282, 0.066, 0.204], [0.391, 0.609, 0.589], [0.609, 0.391, 0.089], [0.718, 0.934, 0.704], [0.934, 0.718, 0.204], [0.034, 0.456, 0.299], [0.048, 0.952, 0.744], [0.287, 0.382, 0.135], [0.288, 0.712, 0.021], [0.382, 0.287, 0.635], [0.456, 0.034, 0.799], [0.544, 0.966, 0.299], [0.618, 0.713, 0.135], [0.712, 0.288, 0.521], [0.713, 0.618, 0.635], [0.952, 0.048, 0.244], [0.966, 0.544, 0.799]]}

Arrangement B

{"formula": "PmHo3Tm6", "functional": "GGA-PBE", "state": "relaxed", "crystal_system": "trigonal", "magmom_total_mub_per_fu": 0.00, "cell": [[4.855, 2.803, 3.861], [-4.855, 2.803, 3.861], [0.000, -5.606, 3.861]], "species": ["Pm", "Ho", "Ho", "Ho", "Tm", "Tm", "Tm", "Tm", "Tm", "Tm"], "frac_coords": [[0.000, 0.000, 0.000], [0.258, 0.258, 0.258], [0.502, 0.502, 0.502], [0.754, 0.754, 0.754], [0.161, 0.825, 0.488], [0.329, 0.659, 0.989], [0.488, 0.161, 0.825], [0.659, 0.989, 0.329], [0.825, 0.488, 0.161], [0.989, 0.329, 0.659]]}

Which of them is least stable? Easy: arrangement B.

Arrangement A

{"formula": "Pm4Ho4Tm3", "functional": "GGA-PBE", "state": "relaxed", "crystal_system": "monoclinic", "magmom_total_mub_per_fu": 0.00, "cell": [[18.685, -2.719, 0.000], [18.685, 2.719, 0.000], [-0.291, 0.000, 3.483]], "species": ["Pm", "Pm", "Pm", "Pm", "Ho", "Ho", "Ho", "Ho", "Tm", "Tm", "Tm"], "frac_coords": [[0.097, 0.097, 0.100], [0.279, 0.279, 0.782], [0.721, 0.721, 0.218], [0.903, 0.903, 0.900], [0.183, 0.183, 0.681], [0.455, 0.455, 0.453], [0.545, 0.545, 0.547], [0.817, 0.817, 0.319], [0.000, 0.000, 0.000], [0.364, 0.364, 0.361], [0.636, 0.636, 0.639]]}

Arrangement B

{"formula": "Pm4Ho4Tm3", "functional": "GGA-PBE", "state": "relaxed", "crystal_system": "orthorhombic", "magmom_total_mub_per_fu": 0.00, "cell": [[-1.756, 2.814, 17.707], [1.756, -2.814, 17.707], [1.756, 2.814, -17.707]], "species": ["Pm", "Pm", "Pm", "Pm", "Ho", "Ho", "Ho", "Ho", "Tm", "Tm", "Tm"], "frac_coords": [[0.090, 0.090, 0.000], [0.268, 0.768, 0.500], [0.732, 0.232, 0.500], [0.910, 0.910, 0.000], [0.180, 0.180, 0.000], [0.454, 0.954, 0.500], [0.546, 0.046, 0.500], [0.820, 0.820, 0.000], [0.000, 0.500, 0.500], [0.364, 0.364, 0.000], [0.636, 0.636, 0.000]]}

Which of them is least stable? Easy: arrangement B.

Arrangement A

{"formula": "Pm7HoTm3", "functional": "GGA-PBE", "state": "relaxed", "crystal_system": "trigonal", "magmom_total_mub_per_fu": 0.00, "cell": [[7.144, 0.000, 0.000], [-3.572, 6.187, 0.000], [0.000, 0.000, 8.629]], "species": ["Pm", "Pm", "Pm", "Pm", "Pm", "Pm", "Pm", "Ho", "Tm", "Tm", "Tm"], "frac_coords": [[0.000, 0.000, 0.000], [0.166, 0.332, 0.333], [0.166, 0.834, 0.333], [0.501, 0.002, 0.986], [0.501, 0.499, 0.986], [0.668, 0.834, 0.333], [0.998, 0.499, 0.986], [0.667, 0.333, 0.321], [0.335, 0.167, 0.658], [0.833, 0.167, 0.658], [0.833, 0.665, 0.658]]}

Arrangement B

{"formula": "Pm7HoTm3", "functional": "GGA-PBE", "state": "relaxed", "crystal_system": "triclinic", "magmom_total_mub_per_fu": 0.00, "cell": [[6.995, 0.000, 0.000], [-3.152, 9.486, 0.000], [-1.944, -3.703, 11.138]], "species": ["Pm", "Pm", "Pm", "Pm", "Pm", "Pm", "Pm", "Pm", "Pm", "Pm", "Pm", "Pm", "Pm", "Pm", "Ho", "Ho", "Tm", "Tm", "Tm", "Tm", "Tm", "Tm"], "frac_coords": [[0.044, 0.299, 0.234], [0.088, 0.178, 0.492], [0.161, 0.949, 0.267], [0.204, 0.672, 0.052], [0.333, 0.343, 0.024], [0.375, 0.794, 0.440], [0.446, 0.760, 0.728], [0.554, 0.240, 0.272], [0.625, 0.206, 0.560], [0.667, 0.657, 0.976], [0.796, 0.328, 0.948], [0.839, 0.051, 0.733], [0.912, 0.822, 0.508], [0.956, 0.701, 0.766], [0.000, 0.500, 0.500], [0.500, 0.000, 0.000], [0.000, 0.000, 0.000], [0.202, 0.417, 0.761], [0.323, 0.075, 0.745], [0.500, 0.500, 0.500], [0.677, 0.925, 0.255], [0.798, 0.583, 0.239]]}

Which of them is least stable? Easy: arrangement A.

Arrangement A

{"formula": "PmHo3Tm7", "functional": "GGA-PBE", "state": "relaxed", "crystal_system": "trigonal", "magmom_total_mub_per_fu": 0.00, "cell": [[6.970, 0.000, 0.000], [-3.485, 6.036, 0.000], [0.000, 0.000, 8.518]], "species": ["Pm", "Ho", "Ho", "Ho", "Tm", "Tm", "Tm", "Tm", "Tm", "Tm", "Tm"], "frac_coords": [[0.000, 0.000, 0.000], [0.167, 0.334, 0.337], [0.167, 0.833, 0.337], [0.666, 0.833, 0.337], [0.002, 0.501, 0.999], [0.331, 0.166, 0.670], [0.333, 0.667, 0.671], [0.499, 0.501, 0.999], [0.499, 0.998, 0.999], [0.834, 0.166, 0.670], [0.834, 0.669, 0.670]]}

Arrangement B

{"formula": "PmHo3Tm7", "functional": "GGA-PBE", "state": "relaxed", "crystal_system": "monoclinic", "magmom_total_mub_per_fu": 0.00, "cell": [[6.859, 0.000, 0.000], [0.000, 5.459, 0.000], [-3.231, 0.000, 9.268]], "species": ["Pm", "Ho", "Ho", "Ho", "Tm", "Tm", "Tm", "Tm", "Tm", "Tm", "Tm"], "frac_coords": [[0.000, 0.000, 0.000], [0.276, 0.500, 0.494], [0.500, 0.000, 0.000], [0.724, 0.500, 0.506], [0.000, 0.000, 0.500], [0.151, 0.500, 0.790], [0.322, 0.500, 0.142], [0.429, 0.000, 0.332], [0.571, 0.000, 0.668], [0.678, 0.500, 0.858], [0.849, 0.500, 0.210]]}

Which of them is least stable? Easy: arrangement A.

Arrangement A

{"formula": "PmHo7Tm4", "functional": "GGA-PBE", "state": "relaxed", "crystal_system": "monoclinic", "magmom_total_mub_per_fu": 0.00, "cell": [[5.984, -2.904, 0.000], [5.984, 2.904, 0.000], [-5.881, 0.000, 11.070]], "species": ["Pm", "Ho", "Ho", "Ho", "Ho", "Ho", "Ho", "Ho", "Tm", "Tm", "Tm", "Tm"], "frac_coords": [[0.000, 0.000, 0.000], [0.059, 0.059, 0.329], [0.211, 0.211, 0.923], [0.365, 0.365, 0.496], [0.500, 0.500, 0.000], [0.635, 0.635, 0.504], [0.789, 0.789, 0.077], [0.941, 0.941, 0.671], [0.251, 0.251, 0.685], [0.368, 0.368, 0.226], [0.632, 0.632, 0.774], [0.749, 0.749, 0.315]]}

Arrangement B

{"formula": "PmHo7Tm4", "functional": "GGA-PBE", "state": "relaxed", "crystal_system": "triclinic", "magmom_total_mub_per_fu": 0.00, "cell": [[6.146, 0.000, 0.000], [-0.001, 7.102, 0.000], [-2.052, -0.002, 8.499]], "species": ["Pm", "Ho", "Ho", "Ho", "Ho", "Ho", "Ho", "Ho", "Tm", "Tm", "Tm", "Tm"], "frac_coords": [[0.000, 0.000, 0.000], [0.000, 0.500, 0.000], [0.223, 0.000, 0.665], [0.279, 0.748, 0.336], [0.500, 0.251, 0.000], [0.500, 0.749, 0.000], [0.721, 0.252, 0.664], [0.777, 0.000, 0.335], [0.221, 0.500, 0.665], [0.278, 0.251, 0.335], [0.722, 0.749, 0.665], [0.779, 0.500, 0.335]]}

Which of them is least stable? Easy: arrangement A.

Arrangement A

{"formula": "PmHo4Tm5", "functional": "GGA-PBE", "state": "relaxed", "crystal_system": "tetragonal", "magmom_total_mub_per_fu": 0.00, "cell": [[-5.055, 5.055, 3.126], [5.055, -5.055, 3.126], [5.055, 5.055, -3.126]], "species": ["Pm", "Ho", "Ho", "Ho", "Ho", "Tm", "Tm", "Tm", "Tm", "Tm"], "frac_coords": [[0.000, 0.000, 0.000], [0.179, 0.881, 0.600], [0.280, 0.578, 0.400], [0.578, 0.179, 0.298], [0.881, 0.280, 0.702], [0.457, 0.457, 0.000], [0.492, 0.869, 0.910], [0.583, 0.492, 0.623], [0.869, 0.960, 0.377], [0.960, 0.583, 0.090]]}

Arrangement B

{"formula": "PmHo4Tm5", "functional": "GGA-PBE", "state": "relaxed", "crystal_system": "triclinic", "magmom_total_mub_per_fu": 0.00, "cell": [[3.523, 0.000, 0.000], [-1.593, 6.412, 0.000], [-0.782, -2.315, 13.778]], "species": ["Pm", "Ho", "Ho", "Ho", "Ho", "Tm", "Tm", "Tm", "Tm", "Tm"], "frac_coords": [[0.000, 0.000, 0.000], [0.114, 0.809, 0.218], [0.194, 0.728, 0.804], [0.806, 0.272, 0.196], [0.886, 0.191, 0.782], [0.205, 0.881, 0.583], [0.491, 0.427, 0.613], [0.500, 0.500, 0.000], [0.509, 0.573, 0.387], [0.795, 0.119, 0.417]]}

Which of them is least stable? Easy: arrangement A.

Arrangement A

{"formula": "PmHo2Tm4", "functional": "GGA-PBE", "state": "relaxed", "crystal_system": "triclinic", "magmom_total_mub_per_fu": 0.00, "cell": [[5.976, 0.000, 0.000], [2.984, 7.843, 0.000], [2.964, -0.220, 9.306]], "species": ["Pm", "Pm", "Ho", "Ho", "Ho", "Ho", "Tm", "Tm", "Tm", "Tm", "Tm", "Tm", "Tm", "Tm"], "frac_coords": [[0.000, 0.000, 0.000], [0.287, 0.144, 0.279], [0.104, 0.572, 0.139], [0.113, 0.503, 0.501], [0.302, 0.072, 0.639], [0.406, 0.641, 0.778], [0.480, 0.221, 0.915], [0.511, 0.717, 0.417], [0.547, 0.781, 0.062], [0.678, 0.363, 0.216], [0.724, 0.285, 0.561], [0.858, 0.859, 0.717], [0.903, 0.923, 0.364], [0.934, 0.427, 0.862]]}

Arrangement B

{"formula": "PmHo2Tm4", "functional": "GGA-PBE", "state": "relaxed", "crystal_system": "monoclinic", "magmom_total_mub_per_fu": 0.00, "cell": [[16.468, 0.000, 0.000], [0.000, 3.496, 0.000], [-4.261, 0.000, 7.536]], "species": ["Pm", "Pm", "Ho", "Ho", "Ho", "Ho", "Tm", "Tm", "Tm", "Tm", "Tm", "Tm", "Tm", "Tm"], "frac_coords": [[0.000, 0.000, 0.000], [0.500, 0.500, 0.000], [0.070, 0.000, 0.430], [0.430, 0.500, 0.570], [0.570, 0.500, 0.430], [0.930, 0.000, 0.570], [0.143, 0.500, 0.834], [0.206, 0.500, 0.294], [0.294, 0.000, 0.706], [0.357, 0.000, 0.166], [0.643, 0.000, 0.834], [0.706, 0.000, 0.294], [0.794, 0.500, 0.706], [0.857, 0.500, 0.166]]}

Which of them is least stable? Easy: arrangement A.

Arrangement A

{"formula": "Pm4Ho4Tm", "functional": "GGA-PBE", "state": "relaxed", "crystal_system": "tetragonal", "magmom_total_mub_per_fu": 0.00, "cell": [[-5.368, 5.368, 2.527], [5.368, -5.368, 2.527], [5.368, 5.368, -2.527]], "species": ["Pm", "Pm", "Pm", "Pm", "Ho", "Ho", "Ho", "Ho", "Tm"], "frac_coords": [[0.000, 0.331, 0.331], [0.000, 0.669, 0.669], [0.331, 0.000, 0.331], [0.669, 0.000, 0.669], [0.334, 0.334, 0.669], [0.334, 0.666, 0.000], [0.666, 0.334, 0.000], [0.666, 0.666, 0.331], [0.000, 0.000, 0.000]]}

Arrangement B

{"formula": "Pm4Ho4Tm", "functional": "GGA-PBE", "state": "relaxed", "crystal_system": "monoclinic", "magmom_total_mub_per_fu": 0.00, "cell": [[8.386, -2.786, 0.000], [8.386, 2.786, 0.000], [-2.680, 0.000, 6.289]], "species": ["Pm", "Pm", "Pm", "Pm", "Ho", "Ho", "Ho", "Ho", "Tm"], "frac_coords": [[0.133, 0.133, 0.459], [0.281, 0.281, 0.213], [0.719, 0.719, 0.787], [0.867, 0.867, 0.541], [0.072, 0.072, 0.874], [0.376, 0.376, 0.824], [0.624, 0.624, 0.176], [0.928, 0.928, 0.126], [0.500, 0.500, 0.500]]}

Which of them is least stable? Easy: arrangement B.

Arrangement A

{"formula": "Pm3Ho2Tm", "functional": "GGA-PBE", "state": "relaxed", "crystal_system": "monoclinic", "magmom_total_mub_per_fu": 0.00, "cell": [[6.558, -1.801, 0.000], [6.558, 1.801, 0.000], [-3.122, 0.000, 16.682]], "species": ["Pm", "Pm", "Pm", "Pm", "Pm", "Pm", "Ho", "Ho", "Ho", "Ho", "Tm", "Tm"], "frac_coords": [[0.022, 0.022, 0.172], [0.365, 0.365, 0.988], [0.447, 0.447, 0.350], [0.553, 0.553, 0.650], [0.635, 0.635, 0.012], [0.978, 0.978, 0.828], [0.134, 0.134, 0.486], [0.288, 0.288, 0.170], [0.712, 0.712, 0.830], [0.866, 0.866, 0.514], [0.293, 0.293, 0.677], [0.707, 0.707, 0.323]]}

Arrangement B

{"formula": "Pm3Ho2Tm", "functional": "GGA-PBE", "state": "relaxed", "crystal_system": "monoclinic", "magmom_total_mub_per_fu": 0.00, "cell": [[8.907, -3.606, 0.000], [8.907, 3.606, 0.000], [-1.469, 0.000, 6.082]], "species": ["Pm", "Pm", "Pm", "Pm", "Pm", "Pm", "Ho", "Ho", "Ho", "Ho", "Tm", "Tm"], "frac_coords": [[0.042, 0.293, 0.026], [0.127, 0.873, 0.750], [0.293, 0.042, 0.526], [0.707, 0.958, 0.474], [0.873, 0.127, 0.250], [0.958, 0.707, 0.974], [0.210, 0.458, 0.471], [0.458, 0.210, 0.971], [0.542, 0.790, 0.029], [0.790, 0.542, 0.529], [0.378, 0.622, 0.250], [0.622, 0.378, 0.750]]}

Which of them is least stable? Easy: arrangement A.